1.
PmPu2I8 | Alexandria | PBE-GGA | optimized geometry; uncorrected energy = -5.266 eV per atom; E_form (uncorrected) = -1.10 eV per atom
1.0
8.180 1.348 1.023
1.611 8.835 0.588
1.611 2.946 8.351
Pm Pu I
1 2 8
Direct
0.000 0.000 0.000 Pm
0.553 0.875 0.875 Pu
0.447 0.125 0.125 Pu
0.254 0.244 0.825 I
0.746 0.175 0.756 I
0.267 0.787 0.787 I
0.733 0.213 0.213 I
0.254 0.825 0.244 I
0.746 0.756 0.175 I
0.825 0.676 0.676 I
0.175 0.324 0.324 I



2.
ScSi2HCl | Alexandria | PBE-GGA | optimized geometry; uncorrected energy = -4.126 eV per atom
1.0
5.297 0.000 0.000
0.000 3.025 0.000
0.000 0.000 5.297
Sc H Si Cl
1 1 2 1
Direct
0.500 0.500 0.500 Sc
0.000 0.500 0.000 H
0.000 0.000 0.500 Si
0.500 0.000 0.000 Si
0.000 0.000 0.000 Cl



3.
CaIrSe | Alexandria | PBE-GGA | optimized geometry; polymorph energy (0 for the lowest one) = 0.105 eV per atom; uncorrected energy = -5.364 eV per atom; E_form (uncorrected) = -0.58 eV per atom
1.0
4.211 0.000 0.000
0.000 4.211 0.000
-2.106 -2.106 6.890
Se Ir Ca
2 2 2
Direct
0.119 0.119 0.238 Se
0.881 0.881 0.762 Se
0.000 0.500 0.000 Ir
0.500 0.000 0.000 Ir
0.654 0.654 0.308 Ca
0.346 0.346 0.692 Ca



4.
YBi3Se | Alexandria | PBE-GGA | optimized geometry; polymorph energy (0 for the lowest one) = 0.000 eV per atom; uncorrected energy = -4.156 eV per atom; E_form (uncorrected) = 0.16 eV per atom
1.0
5.541 0.000 0.000
0.000 5.541 0.000
0.000 0.000 5.541
Y Bi Se
1 3 1
Direct
0.500 0.500 0.500 Y
0.000 0.500 0.000 Bi
0.000 0.000 0.500 Bi
0.500 0.000 0.000 Bi
0.000 0.000 0.000 Se



5.
Sc2GaMo | Alexandria | PBE-GGA | optimized geometry; formation enthalpy at 0 K = -0.204 eV/atom; uncorrected energy = -6.834 eV per atom
1.0
3.387 0.000 0.000
0.000 3.387 0.000
0.000 0.000 6.526
Sc Mo Ga
2 1 1
Direct
0.000 0.000 0.761 Sc
0.000 0.000 0.239 Sc
0.500 0.500 0.000 Mo
0.500 0.500 0.500 Ga



6.
K2PuHgO4 | Alexandria | PBE-GGA | optimized geometry; uncorrected energy = -6.519 eV per atom; E_form (uncorrected) = -1.94 eV per atom
1.0
-2.259 0.574 -2.574
-7.320 -3.378 5.672
2.839 6.081 -1.136
K Pu Hg O
2 1 1 4
Direct
0.500 0.000 0.500 K
0.000 0.500 0.500 K
0.500 0.500 0.000 Pu
0.000 0.000 0.000 Hg
0.500 0.350 0.077 O
0.500 0.650 0.923 O
0.000 0.332 0.719 O
0.000 0.668 0.281 O



7.
Er2HgPd4 | Alexandria | PBE-GGA | optimized geometry; polymorph energy (0 for the lowest one) = 0.675 eV per atom; formation enthalpy at 0 K = -0.035 eV/atom; uncorrected energy = -4.349 eV per atom
1.0
-0.605 -4.924 -0.536
2.687 0.127 -4.203
4.791 1.280 6.063
Er Hg Pd
2 1 4
Direct
0.625 0.625 0.249 Er
0.375 0.375 0.751 Er
0.000 0.000 0.000 Hg
0.806 0.806 0.613 Pd
0.194 0.194 0.387 Pd
0.000 0.500 0.000 Pd
0.500 0.000 0.000 Pd



8.
MgBi | Alexandria | PBE-GGA | optimized geometry; formation enthalpy at 0 K = -0.107 eV/atom; uncorrected energy = -2.845 eV per atom
1.0
3.541 0.000 0.000
0.000 5.249 0.000
0.000 0.000 5.962
Mg Bi
2 2
Direct
0.500 0.158 0.000 Mg
0.000 0.842 0.500 Mg
0.000 0.673 0.000 Bi
0.500 0.327 0.500 Bi